# Ag2BRuPt GGA-PBE optimized geometry
data_Ag2BRuPt
_chemical_formula_sum 'Ag2 B1 Ru1 Pt1'
_symmetry_space_group_name_H-M 'P 4/m m m'
_symmetry_Int_Tables_number 123
_symmetry_space_group_name_Hall '-P 4 2'
_cell_length_a 5.133
_cell_length_b 5.133
_cell_length_c 3.882
_cell_angle_alpha 90.00
_cell_angle_beta 90.00
_cell_angle_gamma 90.00
loop_
_atom_site_label
_atom_site_type_symbol
_atom_site_fract_x
_atom_site_fract_y
_atom_site_fract_z
Ag1 Ag 0.000 0.500 0.000
B1 B 0.000 0.000 0.500
Ru1 Ru 0.500 0.500 0.500
Pt1 Pt 0.000 0.000 0.000
# Calculated formation energy, eV per atom: 1.25
# Mass density, Mg/m³: 8.5
# V, Å³ per cell: 102.3
# D(E_F), states/eV/cell: 4.05

# SmAg4B3Pt12 GGA-PBE optimized geometry
data_SmAg4B3Pt12
_chemical_formula_sum 'Sm2 Ag8 B6 Pt24'
_symmetry_space_group_name_H-M 'I m -3 m'
_symmetry_Int_Tables_number 229
_symmetry_space_group_name_Hall '-I 4 2 3'
_cell_length_a 8.883
_cell_length_b 8.883
_cell_length_c 8.883
_cell_angle_alpha 90.00
_cell_angle_beta 90.00
_cell_angle_gamma 90.00
loop_
_atom_site_label
_atom_site_type_symbol
_atom_site_fract_x
_atom_site_fract_y
_atom_site_fract_z
Sm1 Sm 0.000 0.000 0.000
Ag1 Ag 0.250 0.250 0.250
B1 B 0.000 0.000 0.500
Pt1 Pt 0.000 0.000 0.284
Pt2 Pt 0.000 0.250 0.500
# Calculated formation energy, eV per atom: 0.26
# Mass density, Mg/m³: 14.0
# V, Å³ per cell: 701.0
# D(E_F), states/eV/cell: 21.19